# HoPuAsSe (GGA-PBE, optimized geometry)
data_HoPuAsSe
_space_group_name_H-M_alt 'R 3 m'
_space_group_IT_number 160
_space_group_name_Hall 'R 3 -2"'
_cell_length_a 4.1263
_cell_length_b 4.1263
_cell_length_c 20.1215
_cell_angle_alpha 90.00
_cell_angle_beta 90.00
_cell_angle_gamma 120.00
loop_
_atom_site_label
_atom_site_type_symbol
_atom_site_fract_x
_atom_site_fract_y
_atom_site_fract_z
Ho1 Ho 0.0000 0.0000 0.0000
Pu1 Pu 0.0000 0.0000 0.4955
As1 As 0.0000 0.0000 0.7461
Se1 Se 0.0000 0.0000 0.2489
# Formation energy from raw total energies, meV/atom: -1513